Record 1
{"formula": "KBeNbNi", "functional": "PBE", "state": "optimized geometry", "cell": [[0.000, 3.157, 3.157], [3.157, 0.000, 3.157], [3.157, 3.157, 0.000]], "species": ["K", "Be", "Nb", "Ni"], "frac_coords": [[0.000, 0.000, 0.000], [0.500, 0.500, 0.500], [0.250, 0.250, 0.250], [0.750, 0.750, 0.750]], "total_energy_ev_per_atom": -3.75}

***

Record 2
{"formula": "DyNbSi", "functional": "PBE", "state": "optimized geometry", "cell": [[0.000, 3.219, 3.219], [3.219, 0.000, 3.219], [3.219, 3.219, 0.000]], "species": ["Dy", "Nb", "Si"], "frac_coords": [[0.000, 0.000, 0.000], [0.500, 0.500, 0.500], [0.250, 0.250, 0.250]], "total_energy_ev_per_atom": -6.79}

***

Record 3
{"formula": "RbMg2NiAs2", "functional": "PBE", "state": "optimized geometry", "cell": [[4.194, 0.000, 0.000], [0.000, 4.194, 0.000], [0.000, 0.000, 8.750]], "species": ["Rb", "Mg", "Mg", "Ni", "As", "As"], "frac_coords": [[0.000, 0.000, 0.000], [0.000, 0.500, 0.601], [0.500, 0.000, 0.601], [0.500, 0.500, 0.406], [0.000, 0.000, 0.392], [0.500, 0.500, 0.780]], "total_energy_ev_per_atom": -3.38}

***

Record 4
{"formula": "Nb2BIr", "functional": "PBE", "state": "optimized geometry", "cell": [[0.000, 3.081, 3.081], [3.081, 0.000, 3.081], [3.081, 3.081, 0.000]], "species": ["Nb", "Nb", "B", "Ir"], "frac_coords": [[0.000, 0.000, 0.000], [0.250, 0.250, 0.250], [0.500, 0.500, 0.500], [0.750, 0.750, 0.750]], "total_energy_ev_per_atom": -8.55}

***

Record 5
{"formula": "HoLuInTe3", "functional": "PBE", "state": "optimized geometry", "cell": [[9.381, -2.147, 0.000], [9.381, 2.147, 0.000], [-2.332, 0.000, 9.739]], "species": ["Ho", "Ho", "Lu", "Lu", "In", "In", "Te", "Te", "Te", "Te", "Te", "Te"], "frac_coords": [[0.171, 0.171, 0.075], [0.829, 0.829, 0.925], [0.497, 0.497, 0.790], [0.503, 0.503, 0.210], [0.141, 0.141, 0.552], [0.859, 0.859, 0.448], [0.000, 0.000, 0.000], [0.334, 0.334, 0.708], [0.337, 0.337, 0.151], [0.500, 0.500, 0.500], [0.663, 0.663, 0.849], [0.666, 0.666, 0.292]], "total_energy_ev_per_atom": -4.49}

***

Record 6
{"formula": "LiGaCu2", "functional": "PBE", "state": "optimized geometry", "cell": [[4.210, 0.000, 0.000], [-2.105, 3.646, 0.000], [0.000, 0.000, 7.201]], "species": ["Li", "Li", "Ga", "Ga", "Cu", "Cu", "Cu", "Cu"], "frac_coords": [[0.000, 0.000, 0.250], [0.000, 0.000, 0.750], [0.333, 0.667, 0.250], [0.667, 0.333, 0.750], [0.333, 0.667, 0.582], [0.333, 0.667, 0.918], [0.667, 0.333, 0.082], [0.667, 0.333, 0.418]], "total_energy_ev_per_atom": -3.19}

***

Record 7
{"formula": "HfCuAsOs", "functional": "PBE", "state": "optimized geometry", "cell": [[0.000, 3.122, 3.122], [3.122, 0.000, 3.122], [3.122, 3.122, 0.000]], "species": ["Hf", "Cu", "As", "Os"], "frac_coords": [[0.000, 0.000, 0.000], [0.750, 0.750, 0.750], [0.250, 0.250, 0.250], [0.500, 0.500, 0.500]], "total_energy_ev_per_atom": -7.48}

***

Record 8
{"formula": "TmReAu", "functional": "PBE", "state": "optimized geometry", "cell": [[0.000, 3.265, 3.265], [3.265, 0.000, 3.265], [3.265, 3.265, 0.000]], "species": ["Tm", "Re", "Au"], "frac_coords": [[0.000, 0.000, 0.000], [0.250, 0.250, 0.250], [0.750, 0.750, 0.750]], "total_energy_ev_per_atom": -5.67}

***

Record 9
{"formula": "Ba16Re6O37", "functional": "PBE", "state": "optimized geometry", "cell": [[10.404, -2.934, 0.000], [10.404, 2.934, 0.000], [-0.815, 0.000, 15.531]], "species": ["Ba", "Ba", "Ba", "Ba", "Ba", "Ba", "Ba", "Ba", "Ba", "Ba", "Ba", "Ba", "Ba", "Ba", "Ba", "Ba", "Re", "Re", "Re", "Re", "Re", "Re", "O", "O", "O", "O", "O", "O", "O", "O", "O", "O", "O", "O", "O", "O", "O", "O", "O", "O", "O", "O", "O", "O", "O", "O", "O", "O", "O", "O", "O", "O", "O", "O", "O", "O", "O", "O", "O"], "frac_coords": [[0.000, 0.000, 0.000], [0.000, 0.000, 0.500], [0.092, 0.092, 0.800], [0.181, 0.181, 0.047], [0.233, 0.233, 0.395], [0.266, 0.266, 0.798], [0.394, 0.394, 0.603], [0.419, 0.419, 0.354], [0.453, 0.453, 0.862], [0.547, 0.547, 0.138], [0.581, 0.581, 0.646], [0.606, 0.606, 0.397], [0.734, 0.734, 0.202], [0.767, 0.767, 0.605], [0.819, 0.819, 0.953], [0.908, 0.908, 0.200], [0.079, 0.079, 0.265], [0.173, 0.173, 0.608], [0.358, 0.358, 0.073], [0.642, 0.642, 0.927], [0.827, 0.827, 0.392], [0.921, 0.921, 0.735], [0.045, 0.590, 0.302], [0.068, 0.068, 0.141], [0.068, 0.524, 0.090], [0.072, 0.601, 0.473], [0.084, 0.084, 0.627], [0.086, 0.628, 0.744], [0.092, 0.092, 0.385], [0.187, 0.651, 0.049], [0.217, 0.751, 0.730], [0.249, 0.783, 0.270], [0.264, 0.264, 0.603], [0.339, 0.339, 0.949], [0.349, 0.813, 0.951], [0.372, 0.914, 0.256], [0.394, 0.394, 0.183], [0.399, 0.928, 0.527], [0.410, 0.955, 0.698], [0.476, 0.932, 0.910], [0.500, 0.500, 0.500], [0.524, 0.068, 0.090], [0.590, 0.045, 0.302], [0.601, 0.072, 0.473], [0.606, 0.606, 0.817], [0.628, 0.086, 0.744], [0.651, 0.187, 0.049], [0.661, 0.661, 0.051], [0.736, 0.736, 0.397], [0.751, 0.217, 0.730], [0.783, 0.249, 0.270], [0.813, 0.349, 0.951], [0.908, 0.908, 0.615], [0.914, 0.372, 0.256], [0.916, 0.916, 0.373], [0.928, 0.399, 0.527], [0.932, 0.476, 0.910], [0.932, 0.932, 0.859], [0.955, 0.410, 0.698]], "total_energy_ev_per_atom": -7.23}

***

Record 10
{"formula": "Pr2Nd3ScTe2Pd", "functional": "PBE", "state": "optimized geometry", "cell": [[3.979, 0.000, 0.000], [0.000, 7.481, 4.361], [0.000, -7.481, 4.361]], "species": ["Pr", "Pr", "Nd", "Nd", "Nd", "Sc", "Te", "Te", "Pd"], "frac_coords": [[0.000, 0.206, 0.794], [0.000, 0.794, 0.206], [0.500, 0.045, 0.045], [0.500, 0.542, 0.789], [0.500, 0.789, 0.542], [0.000, 0.387, 0.387], [0.500, 0.136, 0.457], [0.500, 0.457, 0.136], [0.000, 0.790, 0.790]], "total_energy_ev_per_atom": -5.39}

***

Record 11
{"formula": "HoTmIr2", "functional": "PBE", "state": "optimized geometry", "cell": [[4.717, 0.000, 0.000], [0.000, 4.717, 0.000], [0.000, 0.000, 3.491]], "species": ["Ho", "Tm", "Ir", "Ir"], "frac_coords": [[0.000, 0.000, 0.000], [0.500, 0.500, 0.000], [0.000, 0.500, 0.500], [0.500, 0.000, 0.500]], "total_energy_ev_per_atom": -7.58}

***

Record 12
{"formula": "LiSc2Ta", "functional": "PBE", "state": "optimized geometry", "cell": [[0.000, 3.402, 3.402], [3.402, 0.000, 3.402], [3.402, 3.402, 0.000]], "species": ["Li", "Sc", "Sc", "Ta"], "frac_coords": [[0.000, 0.000, 0.000], [0.500, 0.500, 0.500], [0.750, 0.750, 0.750], [0.250, 0.250, 0.250]], "total_energy_ev_per_atom": -6.11}

***

Record 13
{"formula": "NaZnPH2C2O6", "functional": "PBE", "state": "optimized geometry", "cell": [[9.610, 0.000, 0.000], [0.000, 10.631, 0.000], [0.000, 0.000, 10.152]], "species": ["Na", "Na", "Na", "Na", "Na", "Na", "Na", "Na", "Zn", "Zn", "Zn", "Zn", "Zn", "Zn", "Zn", "Zn", "P", "P", "P", "P", "P", "P", "P", "P", "H", "H", "H", "H", "H", "H", "H", "H", "H", "H", "H", "H", "H", "H", "H", "H", "C", "C", "C", "C", "C", "C", "C", "C", "C", "C", "C", "C", "C", "C", "C", "C", "O", "O", "O", "O", "O", "O", "O", "O", "O", "O", "O", "O", "O", "O", "O", "O", "O", "O", "O", "O", "O", "O", "O", "O", "O", "O", "O", "O", "O", "O", "O", "O", "O", "O", "O", "O", "O", "O", "O", "O", "O", "O", "O", "O", "O", "O", "O", "O"], "frac_coords": [[0.084, 0.077, 0.124], [0.084, 0.423, 0.624], [0.416, 0.577, 0.124], [0.416, 0.923, 0.624], [0.584, 0.077, 0.376], [0.584, 0.423, 0.876], [0.916, 0.577, 0.376], [0.916, 0.923, 0.876], [0.085, 0.106, 0.679], [0.085, 0.394, 0.179], [0.415, 0.606, 0.679], [0.415, 0.894, 0.179], [0.585, 0.106, 0.821], [0.585, 0.394, 0.321], [0.915, 0.606, 0.821], [0.915, 0.894, 0.321], [0.221, 0.038, 0.405], [0.221, 0.462, 0.905], [0.279, 0.538, 0.405], [0.279, 0.962, 0.905], [0.721, 0.038, 0.095], [0.721, 0.462, 0.595], [0.779, 0.538, 0.095], [0.779, 0.962, 0.595], [0.177, 0.750, 0.214], [0.177, 0.750, 0.714], [0.222, 0.739, 0.935], [0.222, 0.761, 0.435], [0.278, 0.239, 0.935], [0.278, 0.261, 0.435], [0.323, 0.250, 0.214], [0.323, 0.250, 0.714], [0.677, 0.750, 0.286], [0.677, 0.750, 0.786], [0.722, 0.739, 0.565], [0.722, 0.761, 0.065], [0.778, 0.239, 0.565], [0.778, 0.261, 0.065], [0.823, 0.250, 0.286], [0.823, 0.250, 0.786], [0.054, 0.240, 0.409], [0.054, 0.260, 0.909], [0.203, 0.209, 0.374], [0.203, 0.291, 0.874], [0.297, 0.709, 0.374], [0.297, 0.791, 0.874], [0.446, 0.740, 0.409], [0.446, 0.760, 0.909], [0.554, 0.240, 0.091], [0.554, 0.260, 0.591], [0.703, 0.209, 0.126], [0.703, 0.291, 0.626], [0.797, 0.709, 0.126], [0.797, 0.791, 0.626], [0.946, 0.740, 0.091], [0.946, 0.760, 0.591], [0.013, 0.233, 0.527], [0.013, 0.267, 0.027], [0.024, 0.728, 0.687], [0.024, 0.772, 0.187], [0.101, 0.518, 0.827], [0.101, 0.982, 0.327], [0.136, 0.005, 0.854], [0.136, 0.495, 0.354], [0.215, 0.019, 0.555], [0.215, 0.481, 0.055], [0.221, 0.236, 0.237], [0.221, 0.264, 0.737], [0.279, 0.736, 0.237], [0.279, 0.764, 0.737], [0.285, 0.519, 0.555], [0.285, 0.981, 0.055], [0.364, 0.505, 0.854], [0.364, 0.995, 0.354], [0.399, 0.018, 0.827], [0.399, 0.482, 0.327], [0.476, 0.228, 0.687], [0.476, 0.272, 0.187], [0.487, 0.733, 0.527], [0.487, 0.767, 0.027], [0.513, 0.233, 0.973], [0.513, 0.267, 0.473], [0.524, 0.728, 0.813], [0.524, 0.772, 0.313], [0.601, 0.518, 0.673], [0.601, 0.982, 0.173], [0.636, 0.005, 0.646], [0.636, 0.495, 0.146], [0.715, 0.019, 0.945], [0.715, 0.481, 0.445], [0.721, 0.236, 0.263], [0.721, 0.264, 0.763], [0.779, 0.736, 0.263], [0.779, 0.764, 0.763], [0.785, 0.519, 0.945], [0.785, 0.981, 0.445], [0.864, 0.505, 0.646], [0.864, 0.995, 0.146], [0.899, 0.018, 0.673], [0.899, 0.482, 0.173], [0.976, 0.228, 0.813], [0.976, 0.272, 0.313], [0.987, 0.733, 0.973], [0.987, 0.767, 0.473]], "total_energy_ev_per_atom": -6.20}

***

Record 14
{"formula": "TmBi", "functional": "PBE", "state": "optimized geometry", "cell": [[4.113, 0.000, 0.000], [-2.056, 3.562, 0.000], [0.000, 0.000, 4.041]], "species": ["Tm", "Bi"], "frac_coords": [[0.000, 0.000, 0.000], [0.333, 0.667, 0.500]], "total_energy_ev_per_atom": -4.80}

***

Record 15
{"formula": "CsErNiTe3", "functional": "PBE", "state": "optimized geometry", "cell": [[12.986, 0.000, 0.000], [0.000, 4.488, 0.000], [0.000, 0.000, 13.634]], "species": ["Cs", "Cs", "Cs", "Cs", "Er", "Er", "Er", "Er", "Ni", "Ni", "Ni", "Ni", "Te", "Te", "Te", "Te", "Te", "Te", "Te", "Te", "Te", "Te", "Te", "Te"], "frac_coords": [[0.144, 0.250, 0.002], [0.356, 0.750, 0.502], [0.644, 0.250, 0.498], [0.856, 0.750, 0.998], [0.017, 0.750, 0.646], [0.483, 0.250, 0.146], [0.517, 0.750, 0.854], [0.983, 0.250, 0.354], [0.224, 0.250, 0.701], [0.276, 0.750, 0.201], [0.724, 0.250, 0.799], [0.776, 0.750, 0.299], [0.080, 0.750, 0.226], [0.129, 0.250, 0.535], [0.199, 0.750, 0.781], [0.301, 0.250, 0.281], [0.371, 0.750, 0.035], [0.420, 0.250, 0.726], [0.580, 0.750, 0.274], [0.629, 0.250, 0.965], [0.699, 0.750, 0.719], [0.801, 0.250, 0.219], [0.871, 0.750, 0.465], [0.920, 0.250, 0.774]], "total_energy_ev_per_atom": -4.24}

***

Record 16
{"formula": "YHo3Sc2CuTe2", "functional": "PBE", "state": "optimized geometry", "cell": [[3.840, 0.000, 0.000], [0.000, 7.147, 4.115], [0.000, -7.147, 4.115]], "species": ["Y", "Ho", "Ho", "Ho", "Sc", "Sc", "Cu", "Te", "Te"], "frac_coords": [[0.000, 0.000, 0.000], [0.500, 0.158, 0.408], [0.500, 0.408, 0.158], [0.500, 0.648, 0.648], [0.000, 0.404, 0.807], [0.000, 0.807, 0.404], [0.000, 0.405, 0.405], [0.500, 0.072, 0.733], [0.500, 0.733, 0.072]], "total_energy_ev_per_atom": -5.35}

***

Record 17
{"formula": "NdErAg6", "functional": "PBE", "state": "optimized geometry", "cell": [[5.055, 0.000, 0.000], [0.000, 6.258, 0.000], [0.000, 0.000, 5.209]], "species": ["Nd", "Er", "Ag", "Ag", "Ag", "Ag", "Ag", "Ag"], "frac_coords": [[0.000, 0.000, 0.000], [0.500, 0.500, 0.690], [0.000, 0.266, 0.505], [0.000, 0.500, 0.021], [0.000, 0.734, 0.505], [0.500, 0.000, 0.648], [0.500, 0.255, 0.185], [0.500, 0.745, 0.185]], "total_energy_ev_per_atom": -3.53}

***

Record 18
{"formula": "GdSc2N3", "functional": "PBE", "state": "optimized geometry", "cell": [[3.296, 0.000, 0.000], [-1.648, 2.854, 0.000], [0.000, 0.000, 8.069]], "species": ["Gd", "Sc", "Sc", "N", "N", "N"], "frac_coords": [[0.000, 0.000, 0.000], [0.333, 0.667, 0.342], [0.667, 0.333, 0.658], [0.000, 0.000, 0.500], [0.333, 0.667, 0.817], [0.667, 0.333, 0.183]], "total_energy_ev_per_atom": -8.80}